Entry 1:
Pr3Au5Se12 (GGA-PBE, relaxed); magnetization = 0.00 Bohr magnetons per cell; VASP energy = -4.207 eV/atom
1.0
-8.156 8.156 8.156
8.156 -8.156 8.156
8.156 8.156 -8.156
Pr Au Se
12 20 48
Cartesian
4.078 2.039 0.000 Pr
8.156 4.078 -2.039 Pr
2.039 0.000 4.078 Pr
10.195 0.000 4.078 Pr
0.000 4.078 2.039 Pr
4.078 -2.039 8.156 Pr
4.078 10.195 0.000 Pr
8.156 4.078 6.117 Pr
-2.039 8.156 4.078 Pr
6.117 8.156 4.078 Pr
0.000 4.078 10.195 Pr
4.078 6.117 8.156 Pr
0.000 0.000 0.000 Au
4.078 4.078 -4.078 Au
4.078 -4.078 4.078 Au
8.156 0.000 0.000 Au
12.233 2.039 0.000 Au
8.156 -4.078 6.117 Au
6.117 8.156 -4.078 Au
6.117 0.000 4.078 Au
4.078 6.117 0.000 Au
8.156 4.078 2.039 Au
-4.078 4.078 4.078 Au
0.000 8.156 0.000 Au
0.000 0.000 8.156 Au
4.078 4.078 4.078 Au
0.000 4.078 6.117 Au
4.078 2.039 8.156 Au
2.039 8.156 4.078 Au
2.039 0.000 12.233 Au
0.000 12.233 2.039 Au
-4.078 6.117 8.156 Au
2.424 -0.336 0.968 Se
9.810 5.046 -4.414 Se
10.579 0.336 0.968 Se
9.810 -3.110 4.414 Se
7.819 -0.968 2.424 Se
12.570 -1.654 3.110 Se
0.968 2.424 -0.336 Se
11.265 3.742 -1.654 Se
5.046 4.414 -1.654 Se
7.187 2.424 0.336 Se
-0.336 0.968 2.424 Se
4.414 -1.654 5.046 Se
7.819 7.187 -2.424 Se
4.414 1.654 3.110 Se
5.046 -4.414 9.810 Se
7.187 -2.424 7.819 Se
3.110 4.414 1.654 Se
9.124 5.732 0.336 Se
4.414 9.810 -3.110 Se
7.819 0.968 5.732 Se
2.424 7.819 -0.968 Se
9.810 3.110 3.742 Se
1.654 3.110 4.414 Se
2.424 0.336 7.187 Se
5.732 7.819 0.968 Se
6.501 5.046 3.742 Se
-1.654 5.046 4.414 Se
5.732 0.336 9.124 Se
0.336 7.187 2.424 Se
3.742 -1.654 11.265 Se
-0.968 2.424 7.819 Se
5.046 3.742 6.501 Se
0.968 10.579 0.336 Se
3.110 12.570 -1.654 Se
3.742 6.501 5.046 Se
0.336 0.968 10.579 Se
3.742 9.810 3.110 Se
8.492 7.187 5.732 Se
0.968 5.732 7.819 Se
3.110 3.742 9.810 Se
-3.110 4.414 9.810 Se
7.187 5.732 8.492 Se
-4.414 9.810 5.046 Se
0.336 9.124 5.732 Se
-1.654 11.265 3.742 Se
-2.424 7.819 7.187 Se
-1.654 3.110 12.570 Se
5.732 8.492 7.187 Se

Entry 2:
PmTlPAu (GGA-PBE, relaxed); magnetization = 0.00 Bohr magnetons per cell; energy relative to the elements = -0.433 eV/atom; VASP energy = -4.384 eV/atom
1.0
0.000 3.612 3.612
3.612 0.000 3.612
3.612 3.612 0.000
Pm Tl P Au
1 1 1 1
Cartesian
0.000 0.000 0.000 Pm
3.612 3.612 3.612 Tl
5.417 5.417 5.417 P
1.806 1.806 1.806 Au

Entry 3:
Sn4Pd5 (GGA-PBE, relaxed); magnetization = 0.00 Bohr magnetons per cell; energy relative to the elements = -0.321 eV/atom; VASP energy = -4.985 eV/atom
1.0
-4.134 4.134 2.585
4.134 -4.134 2.585
4.134 4.134 -2.585
Sn Pd
4 5
Cartesian
2.640 0.571 0.000 Sn
3.563 -1.494 2.585 Sn
0.571 5.628 0.000 Sn
1.494 3.563 2.585 Sn
0.000 0.000 0.000 Pd
4.835 2.279 0.000 Pd
2.279 3.434 0.000 Pd
1.855 0.701 2.585 Pd
-0.701 1.855 2.585 Pd

Entry 4:
RbHg (GGA-PBE, relaxed); magnetization = 0.00 Bohr magnetons per cell; energy relative to the elements = -0.024 eV/atom; VASP energy = -0.659 eV/atom
1.0
-5.420 5.420 5.420
5.420 -5.420 5.420
5.420 5.420 -5.420
Rb Hg
4 4
Cartesian
3.194 3.194 -3.194 Rb
3.194 -3.194 3.194 Rb
2.227 2.227 2.227 Rb
-3.194 3.194 3.194 Rb
1.145 1.145 -1.145 Hg
1.145 -1.145 1.145 Hg
-1.145 1.145 1.145 Hg
4.275 4.275 4.275 Hg

Entry 5:
La2HoPd (GGA-PBE, relaxed); magnetization = 0.00 Bohr magnetons per cell; energy relative to the elements = -0.419 eV/atom; excess energy over the best structure of this formula in the dataset = 0.00 eV per formula unit; VASP energy = -5.325 eV/atom
1.0
7.238 0.000 0.000
0.000 10.314 0.000
0.000 0.000 6.572
La Ho Pd
8 4 4
Cartesian
1.309 0.625 1.117 La
1.309 4.532 1.117 La
2.311 5.782 4.403 La
2.311 9.689 4.403 La
4.928 0.625 2.169 La
4.928 4.532 2.169 La
5.930 5.782 5.455 La
5.930 9.689 5.455 La
0.228 2.579 4.313 Ho
3.391 7.736 1.027 Ho
3.847 2.579 5.545 Ho
7.010 7.736 2.259 Ho
0.873 7.736 6.173 Pd
2.746 2.579 2.887 Pd
4.492 7.736 3.685 Pd
6.365 2.579 0.399 Pd

Entry 6:
NaAc3Al2O8 (GGA-PBE, relaxed); magnetization = 0.00 Bohr magnetons per cell; VASP energy = -7.322 eV/atom
1.0
5.703 0.000 0.000
-2.852 4.939 0.000
0.000 0.000 7.224
Na Ac Al O
1 3 2 8
Cartesian
0.000 0.000 0.000 Na
0.000 0.000 3.612 Ac
0.000 3.293 1.049 Ac
2.852 1.646 6.175 Ac
0.000 3.293 5.032 Al
2.852 1.646 2.192 Al
0.000 1.685 5.744 O
-1.392 4.097 5.744 O
0.000 3.293 3.298 O
1.459 0.843 1.480 O
1.392 4.097 5.744 O
2.852 1.646 3.927 O
4.244 0.843 1.480 O
2.852 3.254 1.480 O

Entry 7:
RbZrFe2Tc (GGA-PBE, relaxed); magnetization = 1.12 Bohr magnetons per cell; energy relative to the elements = 2.741 eV/atom; VASP energy = -4.621 eV/atom
1.0
4.326 0.000 0.000
0.000 4.326 0.000
0.000 0.000 4.935
Rb Zr Fe Tc
1 1 2 1
Cartesian
0.000 0.000 0.000 Rb
0.000 0.000 2.467 Zr
0.000 2.163 0.000 Fe
2.163 0.000 0.000 Fe
2.163 2.163 2.467 Tc

Entry 8:
Sr3Hf2ZrAs6 (GGA-PBE, relaxed); magnetization = 0.00 Bohr magnetons per cell; energy relative to the elements = -1.127 eV/atom; VASP energy = -6.243 eV/atom
1.0
3.491 -6.047 0.000
3.491 6.047 0.000
-2.325 0.000 7.082
Sr Hf Zr As
3 2 1 6
Cartesian
0.000 0.000 0.000 Sr
3.491 2.005 0.000 Sr
3.491 -2.005 0.000 Sr
2.329 4.029 3.541 Hf
2.329 -4.029 3.541 Hf
2.329 0.000 3.541 Zr
1.155 2.030 2.041 As
-0.016 0.000 5.037 As
1.155 -2.030 2.041 As
3.502 2.030 5.041 As
4.673 0.000 2.045 As
3.502 -2.030 5.041 As

Entry 9:
Ni3Sn2Ge (GGA-PBE, relaxed); magnetization = 0.00 Bohr magnetons per cell; energy relative to the elements = -0.192 eV/atom; excess energy over the best structure of this formula in the dataset = 0.00 eV per formula unit; VASP energy = -5.187 eV/atom
1.0
5.393 0.000 0.000
0.000 3.865 0.000
-1.489 0.000 9.067
Ni Sn Ge
6 4 2
Cartesian
0.122 0.966 1.946 Ni
-0.003 0.966 7.591 Ni
0.913 0.966 4.550 Ni
2.991 2.899 4.517 Ni
3.907 2.899 1.476 Ni
3.782 2.899 7.121 Ni
1.302 2.899 0.436 Sn
1.236 2.899 6.396 Sn
2.668 0.966 2.671 Sn
2.602 0.966 8.631 Sn
-0.122 2.899 3.502 Ge
4.026 0.966 5.565 Ge

Entry 10:
ScTl2Cd (GGA-PBE, relaxed); magnetization = 0.00 Bohr magnetons per cell; energy relative to the elements = -0.137 eV/atom; excess energy over the best structure of this formula in the dataset = 0.00 eV per formula unit; VASP energy = -3.132 eV/atom
1.0
4.667 0.000 0.000
0.000 4.667 0.000
0.000 0.000 4.394
Sc Tl Cd
1 2 1
Cartesian
0.000 0.000 0.000 Sc
0.000 2.333 2.197 Tl
2.333 0.000 2.197 Tl
2.333 2.333 0.000 Cd

Entry 11:
FeAsAu2 (GGA-PBE, relaxed); magnetization = 3.03 Bohr magnetons per cell; energy relative to the elements = 0.273 eV/atom; VASP energy = -4.644 eV/atom
1.0
1.496 0.864 8.885
-1.496 0.864 8.885
0.000 -1.727 8.885
Fe As Au
1 1 2
Cartesian
0.000 0.000 0.000 Fe
0.000 0.000 13.328 As
0.000 0.000 6.797 Au
0.000 0.000 19.859 Au

Entry 12:
TlRhCl6 (GGA-PBE, relaxed); magnetization = 0.00 Bohr magnetons per cell; VASP energy = -3.218 eV/atom
1.0
5.939 3.429 2.243
-5.939 3.429 2.243
0.000 -6.858 2.243
Tl Rh Cl
1 1 6
Cartesian
0.000 0.000 0.000 Tl
0.000 0.000 3.364 Rh
0.000 -1.867 1.923 Cl
-1.617 0.933 1.923 Cl
1.617 0.933 1.923 Cl
-1.617 -0.933 4.806 Cl
1.617 -0.933 4.806 Cl
0.000 1.867 4.806 Cl

- The lowest VASP energy belongs to which entry?
  NaAc3Al2O8

What did the seventh record say?
RbZrFe2Tc (GGA-PBE, relaxed); magnetization = 1.12 Bohr magnetons per cell; energy relative to the elements = 2.741 eV/atom; VASP energy = -4.621 eV/atom
1.0
4.326 0.000 0.000
0.000 4.326 0.000
0.000 0.000 4.935
Rb Zr Fe Tc
1 1 2 1
Cartesian
0.000 0.000 0.000 Rb
0.000 0.000 2.467 Zr
0.000 2.163 0.000 Fe
2.163 0.000 0.000 Fe
2.163 2.163 2.467 Tc

- Number 11 is which compound?
  FeAsAu2

- Look up the magnetization of the sixth one.
  0.00 Bohr magnetons per cell